Record 1
## BaY3Ru (PBE)

Data for BaY3Ru after structural relaxation.

Cell lengths 6.3745, 22.2044, 5.3134 Å; angles 90.00, 90.00, 90.00 degrees
Closest atoms and distances in Å follow each position.
Space group Cmcm (No. 63)
Symmetry-distinct sites (fractional):
Ba 0.0000 0.2165 0.2500 [4 per cell]  6 Y 4.02-4.23, 4 Ba 4.41
Y 0.0000 0.0000 0.0000 [4 per cell]  2 Y 2.66
Y 0.2304 0.3950 0.2500 [8 per cell]  1 Ru 2.80, 1 Y 2.94
Ru 0.0000 0.4975 0.7500 [4 per cell]  2 Ru 2.66, 2 Y 2.80

calculated total energy	-27.5	eV/f.u.
magnetization	0.00	μB/f.u.
formation enthalpy at 0 K	0.627	eV per atom

=====

Record 2
## BaY2Ru (PBE)

Data for BaY2Ru after structural relaxation.

Cell lengths 6.6685, 10.7190, 3.5161 Å; angles 90.00, 117.71, 90.00 degrees
Closest atoms and distances in Å follow each position.
Space group C2/m (No. 12)
Symmetry-distinct sites (fractional):
Ba 0.0000 0.0000 0.0000 [2 per cell]  4 Y 3.21, 4 Ru 3.33-3.55, 2 Ba 3.52
Y 0.2500 0.2500 0.5000 [4 per cell]  2 Ba 3.21, 2 Ru 3.21, 6 Y 3.33-3.55
Ru 0.0000 0.5000 0.0000 [2 per cell]  4 Y 3.21, 4 Ba 3.33-3.55, 2 Ru 3.52

calculated total energy	-21.9	eV/f.u.
magnetization	0.00	μB/f.u.
formation enthalpy at 0 K	0.566	eV per atom

=====

Record 3
## BaY3Ru (PBE)

Data for BaY3Ru after structural relaxation.

Cell lengths 4.0949, 5.4531, 7.9279 Å; angles 90.00, 90.00, 90.00 degrees
Closest atoms and distances in Å follow each position.
Space group Pmmm (No. 47)
Symmetry-distinct sites (fractional):
Ba 0.0000 0.0000 0.0000 [1 per cell]  10 Y 3.96-4.04, 2 Ba 4.09
Y 0.0000 0.0000 0.5000 [1 per cell]  2 Ru 2.73
Y 0.5000 0.5000 0.2728 [2 per cell]  2 Ru 2.73
Ru 0.0000 0.5000 0.5000 [1 per cell]  6 Y 2.73

calculated total energy	-31.1	eV/f.u.
magnetization	0.00	μB/f.u.
formation enthalpy at 0 K	-0.108	eV per atom

=====

Record 4
## BaYRu (PBE)

Data for BaYRu after structural relaxation.

Cell lengths 3.5931, 3.5931, 14.2011 Å; angles 90.00, 90.00, 90.00 degrees
Closest atoms and distances in Å follow each position.
Space group I4mm (No. 107)
Symmetry-distinct sites (fractional):
Ba 0.0000 0.0000 0.0000 [2 per cell]  4 Ru 3.30, 1 Y 3.49, 4 Ba 3.59
Y 0.0000 0.0000 0.2455 [2 per cell]  4 Ru 2.89
Ru 0.0000 0.0000 0.6488 [2 per cell]  4 Y 2.89

calculated total energy	-17.4	eV/f.u.
magnetization	0.00	μB/f.u.
formation enthalpy at 0 K	0.097	eV per atom

=====

Which formula does entry 4 have? BaYRu